The following is a DFT calculation (PBE) of a geometry-optimized HfSbHSe structure.

Calculated values
The calculated total energy is -5.879 eV per atom. For the density of states at the Fermi level, the calculation gives 0.282 states/eV/atom. The calculation puts the volume at 20.4 Å³/atom. As for the crystal system: monoclinic. As for the magnetic moment: 0.0000 μB per atom.

abc: 3.4451 3.4451 8.1866
angles: 90.11 102.03 120.00
Positions (direct):
Sb 0.3645 0.0483 0.4128
Se 0.0032 0.8650 0.8682
H 0.5088 0.6190 0.1277
Hf 0.8156 0.2722 0.0878

***

The following is a DFT calculation (PBE) of a geometry-optimized Hf2SnSbH structure.

Calculated values
The calculated total energy is -4.686 eV per atom. For the density of states at the Fermi level, the calculation gives 0.990 states/eV/atom. The calculation puts the volume at 32.3 Å³/atom. As for the crystal system: tetragonal. As for the magnetic moment: 0.0000 μB per atom.

abc: 5.3275 5.6919 5.3275
angles: 90.00 90.00 90.00
Positions (direct):
Sb 0.0000 0.0000 0.0000
Hf 0.0000 0.0000 0.5000
Hf 0.5000 0.0000 0.0000
H 0.5000 0.5000 0.5000
Sn 0.0000 0.5000 0.0000

***

The following is a DFT calculation (PBE) of a geometry-optimized HfTcSb2H structure.

Calculated values
The calculated total energy is -5.016 eV per atom. For the density of states at the Fermi level, the calculation gives 0.816 states/eV/atom. The calculation puts the volume at 30.1 Å³/atom. As for the crystal system: tetragonal. As for the magnetic moment: 0.5390 μB per atom.

abc: 5.5108 4.9545 5.5108
angles: 90.00 90.00 90.00
Positions (direct):
Sb 0.5000 0.0000 0.0000
Sb 0.0000 0.0000 0.5000
Tc 0.0000 0.5000 0.0000
Hf 0.0000 0.0000 0.0000
H 0.5000 0.5000 0.5000

***

The following is a DFT calculation (PBE) of a geometry-optimized HfSbTe2H structure.

Calculated values
The calculated total energy is -4.317 eV per atom. For the density of states at the Fermi level, the calculation gives 0.786 states/eV/atom. The calculation puts the volume at 34.5 Å³/atom. As for the crystal system: tetragonal. As for the magnetic moment: 0.1690 μB per atom.

abc: 5.5714 5.5714 5.5583
angles: 90.00 90.00 90.00
Positions (direct):
Te 0.0000 0.5000 0.0000
Te 0.5000 0.0000 0.0000
Hf 0.0000 0.0000 0.0000
Sb 0.0000 0.0000 0.5000
H 0.5000 0.5000 0.5000

***

The following is a DFT calculation (PBE) of a geometry-optimized HfSb2TeH structure.

Calculated values
The calculated total energy is -4.636 eV per atom. For the density of states at the Fermi level, the calculation gives 0.601 states/eV/atom. The calculation puts the volume at 21.3 Å³/atom. As for the crystal system: tetragonal. As for the magnetic moment: 0.0000 μB per atom.

abc: 4.3583 4.3583 5.5987
angles: 90.00 90.00 90.00
Positions (direct):
H 0.0000 0.0000 0.0000
Te 0.0000 0.0000 0.5000
Sb 0.5000 0.0000 0.0000
Sb 0.0000 0.5000 0.0000
Hf 0.5000 0.5000 0.5000

***

The following is a DFT calculation (PBE) of a geometry-optimized HfSbTe2H structure.

Calculated values
The calculated total energy is -4.472 eV per atom. For the density of states at the Fermi level, the calculation gives 0.698 states/eV/atom. The calculation puts the volume at 21.3 Å³/atom. As for the crystal system: tetragonal. As for the magnetic moment: 0.0000 μB per atom.

abc: 5.3143 5.3143 3.7731
angles: 90.00 90.00 90.00
Positions (direct):
Sb 0.0000 0.0000 0.5000
Hf 0.5000 0.5000 0.5000
Te 0.5000 0.0000 0.0000
Te 0.0000 0.5000 0.0000
H 0.0000 0.0000 0.0000

***

Q: Number 3 is which compound?
A: HfTcSb2H

***

Q: Which value of calculated total energy does entry 2 give?
A: -4.686 eV per atom

***

Q: What is the magnetic moment in the third record?
A: 0.5390 μB per atom